## UBe2GeOs2 (PBE)

Data for a relaxed UBe2GeOs2 crystal.

Formation enthalpy at 0 K = 0.48 eV per atom
Total magnetic moment = 0.937 μB per cell
Space group = No. 123

a = 4.171 Å, b = 4.171 Å, c = 5.284 Å
α = 90.00°, β = 90.00°, γ = 90.00°
Sites, in units of the cell vectors:
U1 0.000 0.000 0.000
Be1 0.000 0.500 0.500
Be2 0.500 0.000 0.500
Ge1 0.000 0.000 0.500
Os1 0.500 0.500 0.243
Os2 0.500 0.500 0.757